# CoPO3 PBE+U relaxed
# V ... 10.95 Å³ per atom
# ρ ... 4.2 g/cm³
# Total moment ... 6.0 μB per cell
# E_tot ... -6.57 eV/atom
data_CoPO3
_space_group_name_H-M_alt 'P 1'
_space_group_IT_number 1
_cell_length_a 4.9346
_cell_length_b 4.9346
_cell_length_c 5.4814
_cell_angle_alpha 99.41
_cell_angle_beta 99.41
_cell_angle_gamma 119.76
loop_
_space_group_symop_operation_xyz
'x,y,z'
loop_
_atom_site_label
_atom_site_fract_x
_atom_site_fract_y
_atom_site_fract_z
Co1 0.6668 0.3332 0.0000
Co2 0.3332 0.6668 0.0000
O1 0.4072 0.0961 0.2521
O2 0.0961 0.4072 0.2521
O3 0.7883 0.7883 0.2592
O4 0.2117 0.2117 0.7408
O5 0.9039 0.5928 0.7479
O6 0.5928 0.9039 0.7479
P1 0.0767 0.0767 0.1996
P2 0.9233 0.9233 0.8004